Compound: Rb2PrNi3F12
Source: Alexandria
Functional: PBE with a Hubbard U
Structure: relaxed

a = 7.1609 Å, b = 7.1609 Å, c = 7.1609 Å
α = 62.96°, β = 62.96°, γ = 62.96°
Last column: nearest neighbours and their distance in Å.
Fractional positions:
Ni: 0.0000 0.0000 0.5000  6 F 1.97-1.98
Ni: 0.5000 0.0000 0.0000  6 F 1.97-1.98
F: 0.7226 0.7226 0.0999  2 Ni 1.97
Rb: 0.6110 0.6110 0.6110  3 F 2.78
F: 0.8795 0.3944 0.8795  1 Ni 1.98
F: 0.6056 0.1205 0.1205  1 Ni 1.98
Pr: 0.0000 0.0000 0.0000  6 F 2.39
Ni: 0.0000 0.5000 0.0000  6 F 1.97-1.98
F: 0.9001 0.2774 0.2774  2 Ni 1.97
F: 0.1205 0.6056 0.1205  1 Ni 1.98
F: 0.7226 0.0999 0.7226  2 Ni 1.97
F: 0.1205 0.1205 0.6056  1 Ni 1.98
F: 0.2774 0.9001 0.2774  2 Ni 1.97
F: 0.8795 0.8795 0.3944  1 Ni 1.98
F: 0.3944 0.8795 0.8795  1 Ni 1.98
F: 0.0999 0.7226 0.7226  2 Ni 1.97
F: 0.2774 0.2774 0.9001  2 Ni 1.97
Rb: 0.3890 0.3890 0.3890  3 F 2.78

## Properties
The final energy is -84.256 eV/cell. As for the space group: R-3m (166). For the volume, the calculation gives 15.4 A^3/atom. As for the crystal system: trigonal.